Here is crystalline Re2TeIrF at its relaxed geometry from Alexandria. Energies are from PBE.

Cell: 4.894 4.894 3.952 Å, 90.00 90.00 90.00°
Element x y z (fractional)
Re 0.000 0.500 0.000
Re 0.500 0.000 0.000
Te 0.000 0.000 0.000
Ir 0.500 0.500 0.500
F 0.000 0.000 0.500

Space-group type: P4/mmm, No. 123
Formation energy (no corrections) in kJ/mol of atoms: 160.3
Uncorrected energy in eV for the cell shown: -30.5